Material: Sm3HoSn2C
Method: DFT, PBE-GGA
State: relaxed

Cell: 4.815 4.914 16.319 Å, 90.00 90.00 90.00°
Space group Immm (No. 71)
Asymmetric unit:
Sm  0.000  0.000  0.000 (multiplicity 2)
Sm  0.000  0.500  0.161 (multiplicity 4)
Ho  0.000  0.000  0.500 (multiplicity 2)
Sn  0.000  0.500  0.361 (multiplicity 4)
C  0.000  0.500  0.000 (multiplicity 2)

Fermi-level density of states	1.69	states/eV per cell
magnetization	0.0	μB/f.u.
final energy	-5.773	eV/atom
calculated density	7.44	Mg/m³

=====

Material: CaHgAsBr2
Method: DFT, PBE-GGA
State: relaxed

Cell: 5.553 5.553 6.241 Å, 90.00 90.00 90.00°
Space group P4/mmm (No. 123)
Asymmetric unit:
Ca  0.000  0.000  0.000 (multiplicity 1)
Hg  0.500  0.500  0.500 (multiplicity 1)
As  0.000  0.000  0.500 (multiplicity 1)
Br  0.000  0.500  0.000 (multiplicity 2)

Fermi-level density of states	2.40	states/eV per cell
magnetization	2.2	μB/f.u.
final energy	-2.532	eV/atom
calculated density	4.10	Mg/m³
offset from the most stable computed form	0.000	eV per formula unit

=====

Material: KAgPb2F8
Method: DFT, PBE-GGA
State: relaxed

Cell: 5.986 4.088 8.021 Å, 90.00 92.45 90.00°
Space group P2/m (No. 10)
Asymmetric unit:
K  0.000  0.000  0.000 (multiplicity 1)
Ag  0.000  0.000  0.500 (multiplicity 1)
Pb  0.487  0.500  0.747 (multiplicity 2)
F  0.245  0.000  0.724 (multiplicity 2)
F  0.274  0.500  0.484 (multiplicity 2)
F  0.285  0.500  0.995 (multiplicity 2)
F  0.312  0.000  0.251 (multiplicity 2)

Fermi-level density of states	6.23	states/eV per cell
magnetization	0.2	μB/f.u.
final energy	-4.224	eV/atom
calculated density	6.04	Mg/m³

=====

Material: Ti5TlSe8
Method: DFT, PBE-GGA
State: relaxed

Cell: 18.863 3.572 9.241 Å, 90.00 104.30 90.00°
Space group C2/m (No. 12)
Asymmetric unit:
Ti  0.000  0.000  0.000 (multiplicity 2)
Ti  0.152  0.500  0.998 (multiplicity 4)
Ti  0.209  0.500  0.350 (multiplicity 4)
Tl  0.000  0.500  0.500 (multiplicity 2)
Se  0.073  0.500  0.178 (multiplicity 4)
Se  0.086  0.000  0.819 (multiplicity 4)
Se  0.161  0.000  0.499 (multiplicity 4)
Se  0.242  0.000  0.162 (multiplicity 4)

Fermi-level density of states	21.81	states/eV per cell
magnetization	1.5	μB/f.u.
final energy	-6.087	eV/atom
calculated density	5.92	Mg/m³

=====

Material: KCrOs
Method: DFT, PBE-GGA
State: relaxed

Cell: 3.073 3.073 13.704 Å, 90.00 90.00 90.00°
Space group I4mm (No. 107)
Asymmetric unit:
K  0.000  0.000  0.000 (multiplicity 2)
Cr  0.000  0.000  0.280 (multiplicity 2)
Os  0.000  0.000  0.699 (multiplicity 2)

Fermi-level density of states	4.63	states/eV per cell
magnetization	2.5	μB/f.u.
final energy	-6.462	eV/atom
calculated density	7.22	Mg/m³
offset from the most stable computed form	0.000	eV per formula unit

=====

Material: Ga2SiAu2
Method: DFT, PBE-GGA
State: relaxed

Cell: 7.647 7.647 3.151 Å, 90.00 90.00 90.00°
Space group P4/mbm (No. 127)
Asymmetric unit:
Ga  0.160  0.340  0.000 (multiplicity 4)
Si  0.000  0.000  0.500 (multiplicity 2)
Au  0.142  0.642  0.500 (multiplicity 4)

Fermi-level density of states	3.47	states/eV per cell
magnetization	0.0	μB/f.u.
final energy	-3.486	eV/atom
calculated density	10.12	Mg/m³
offset from the most stable computed form	0.000	eV per formula unit

=====

Material: Nb2AlFe5Si2
Method: DFT, PBE-GGA
State: relaxed

Cell: 9.112 9.112 3.060 Å, 90.00 90.00 90.00°
Space group P4/mbm (No. 127)
Asymmetric unit:
Nb  0.174  0.326  0.000 (multiplicity 4)
Al  0.000  0.000  0.000 (multiplicity 2)
Fe  0.000  0.500  0.500 (multiplicity 2)
Fe  0.063  0.792  0.500 (multiplicity 8)
Si  0.125  0.625  0.000 (multiplicity 4)

Fermi-level density of states	11.13	states/eV per cell
magnetization	0.4	μB/f.u.
final energy	-8.023	eV/atom
calculated density	7.17	Mg/m³

=====

Material: K2LaTe
Method: DFT, PBE-GGA
State: relaxed

Cell: 3.896 3.896 11.732 Å, 90.00 90.00 90.00°
Space group P4/mmm (No. 123)
Asymmetric unit:
K  0.000  0.000  0.179 (multiplicity 2)
La  0.500  0.500  0.500 (multiplicity 1)
Te  0.500  0.500  0.000 (multiplicity 1)

Fermi-level density of states	5.41	states/eV per cell
magnetization	0.8	μB/f.u.
final energy	-2.686	eV/atom
calculated density	3.21	Mg/m³

=====

Material: CuTeHPd2
Method: DFT, PBE-GGA
State: relaxed

Cell: 4.229 4.229 3.896 Å, 90.00 90.00 90.00°
Space group P4/mmm (No. 123)
Asymmetric unit:
Cu  0.000  0.000  0.000 (multiplicity 1)
Te  0.500  0.500  0.000 (multiplicity 1)
H  0.000  0.000  0.500 (multiplicity 1)
Pd  0.000  0.500  0.500 (multiplicity 2)

Fermi-level density of states	1.66	states/eV per cell
magnetization	0.0	μB/f.u.
final energy	-4.272	eV/atom
calculated density	9.65	Mg/m³

=====

Material: Y5TlPt2
Method: DFT, PBE-GGA
State: relaxed

Cell: 7.895 7.895 13.465 Å, 90.00 90.00 90.00°
Space group I4/mcm (No. 140)
Asymmetric unit:
Y  0.000  0.000  0.000 (multiplicity 4)
Y  0.159  0.341  0.137 (multiplicity 16)
Tl  0.000  0.000  0.250 (multiplicity 4)
Pt  0.136  0.364  0.500 (multiplicity 8)

Fermi-level density of states	41.61	states/eV per cell
magnetization	0.3	μB/f.u.
final energy	-6.647	eV/atom
calculated density	8.22	Mg/m³

=====

Material: HfSbOs2Au
Method: DFT, PBE-GGA
State: relaxed

Cell: 4.917 4.917 4.898 Å, 90.00 90.00 90.00°
Space group P4/mmm (No. 123)
Asymmetric unit:
Hf  0.000  0.000  0.000 (multiplicity 1)
Sb  0.500  0.500  0.000 (multiplicity 1)
Os  0.000  0.500  0.500 (multiplicity 2)
Au  0.000  0.000  0.500 (multiplicity 1)

Fermi-level density of states	5.98	states/eV per cell
magnetization	0.0	μB/f.u.
final energy	-6.144	eV/atom
calculated density	12.31	Mg/m³

=====

Material: NdTm2Ga2Ag2
Method: DFT, PBE-GGA
State: relaxed

Cell: 4.6429 4.6429 26.5652 Å, 90.00 90.00 120.00°
Space group R-3m (No. 166, hexagonal axes)
Asymmetric unit:
Nd  0.0000  0.0000  0.0000 (multiplicity 3)
Tm  0.0000  0.0000  0.1276 (multiplicity 6)
Ga  0.0000  0.0000  0.2535 (multiplicity 6)
Ag  0.0000  0.0000  0.4071 (multiplicity 6)

Fermi-level density of states	13.08	states/eV per cell
magnetization	0.0	μB/f.u.
final energy	-4.011	eV/atom
calculated density	8.41	Mg/m³

=====

- Number 9 is which compound?
  CuTeHPd2

=====

- Which formula does entry 11 have?
  HfSbOs2Au